Entry 1:
## LaHoGa4 (GGA-PBE)

Data for LaHoGa4 after structural relaxation.

The calculation puts the final energy at -4.142 eV per atom. As for the formation energy: -12.5 kcal/mol of atoms. The value obtained for the density of states at the Fermi level is 18.14 states/eV/cell.

The structure belongs to space group F-43m (No. 216); the cell edges are 7.939, 7.939 and 7.939 Å and the angles 90.00°, 90.00° and 90.00°. Symmetry generates all atoms from La at (0.000, 0.000, 0.000), Ho at (0.250, 0.250, 0.250) and Ga at (0.125, 0.125, 0.625).

---

Entry 2:
## HgAs2Pb (GGA-PBE)

Data for HgAs2Pb after structural relaxation.

The calculation puts the final energy at -3.011 eV per atom. As for the formation energy: 7.3 kcal/mol of atoms. The value obtained for the density of states at the Fermi level is 9.53 states/eV/cell.

The structure belongs to space group Fm-3m (No. 225); the cell edges are 7.275, 7.275 and 7.275 Å and the angles 90.00°, 90.00° and 90.00°. Symmetry generates all atoms from Hg at (0.000, 0.000, 0.000), As at (0.250, 0.250, 0.250) and Pb at (0.000, 0.000, 0.500).

---

Entry 3:
## Ti2NbSnB (GGA-PBE)

Data for Ti2NbSnB after structural relaxation.

The calculation puts the final energy at -7.674 eV per atom. As for the formation energy: -8.4 kcal/mol of atoms. The value obtained for the density of states at the Fermi level is 2.94 states/eV/cell.

The structure belongs to space group P4/mmm (No. 123); the cell edges are 4.317, 4.317 and 4.425 Å and the angles 90.00°, 90.00° and 90.00°. Symmetry generates all atoms from Ti at (0.000, 0.500, 0.000), Nb at (0.000, 0.000, 0.500), Sn at (0.500, 0.500, 0.500) and B at (0.000, 0.000, 0.000).

---

Entry 4:
## KTe2Se2 (GGA-PBE)

Data for KTe2Se2 after structural relaxation.

The calculation puts the final energy at -3.151 eV per atom. For the uncorrected formation energy, the calculation gives -0.281 eV per atom. The value obtained for the density of states at the Fermi level is 8.43 states/eV/cell.

The structure belongs to space group P4/mbm (No. 127); the cell edges are 9.143, 9.143 and 4.406 Å and the angles 90.00°, 90.00° and 90.00°. Symmetry generates all atoms from K at (0.000, 0.000, 0.000), Te at (0.212, 0.288, 0.500) and Se at (0.174, 0.674, 0.000).

---

Entry 5:
## Ni2MoOs (GGA-PBE)

Data for Ni2MoOs after structural relaxation.

The calculation puts the final energy at -8.274 eV per atom. As for the formation energy: 3.0 kcal/mol of atoms. The value obtained for the density of states at the Fermi level is 5.46 states/eV/cell.

The structure belongs to space group P2/m (No. 10); the cell edges are 4.550, 2.669 and 4.622 Å and the angles 90.00°, 109.64° and 90.00°. Symmetry generates all atoms from Ni at (0.000, 0.000, 0.000), Ni at (0.000, 0.500, 0.500), Mo at (0.500, 0.000, 0.500) and Os at (0.500, 0.500, 0.000).

---

Entry 6:
## Pm13Tl2 (GGA-PBE)

Data for Pm13Tl2 after structural relaxation.

The calculation puts the final energy at -4.490 eV per atom. As for the formation energy: -1.3 kcal/mol of atoms. The value obtained for the density of states at the Fermi level is 20.44 states/eV/cell.

The structure belongs to space group P-1 (No. 2); the cell edges are 6.705, 9.055 and 9.115 Å and the angles 65.44°, 81.35° and 82.18°. Symmetry generates all atoms from Pm at (0.000, 0.000, 0.000), Pm at (0.094, 0.428, 0.752), Pm at (0.195, 0.201, 0.204), Pm at (0.282, 0.971, 0.632), Pm at (0.304, 0.630, 0.967), Pm at (0.411, 0.391, 0.405), Pm at (0.470, 0.830, 0.178) and Tl at (0.093, 0.765, 0.445).

---

> Which of these has the highest final energy?

HgAs2Pb

---

> What is the final energy in the sixth record?

-4.490 eV per atom

---

> The highest final energy belongs to which entry?

HgAs2Pb

---

Copy entry 2 word for word.
## HgAs2Pb (GGA-PBE)

Data for HgAs2Pb after structural relaxation.

The calculation puts the final energy at -3.011 eV per atom. As for the formation energy: 7.3 kcal/mol of atoms. The value obtained for the density of states at the Fermi level is 9.53 states/eV/cell.

The structure belongs to space group Fm-3m (No. 225); the cell edges are 7.275, 7.275 and 7.275 Å and the angles 90.00°, 90.00° and 90.00°. Symmetry generates all atoms from Hg at (0.000, 0.000, 0.000), As at (0.250, 0.250, 0.250) and Pb at (0.000, 0.000, 0.500).